Entry 1:
First-principles (PBE) data for a geometry-optimized CaSbOs structure, as listed in the Alexandria database.

Calculated values
Density of states at the Fermi level = 0.722 states/eV/atom
Space group = No. 216

Unit cell a=4.721 b=4.721 c=4.721 alpha=60.00 beta=60.00 gamma=60.00
Element x y z (fractional)
Sb 0.500 0.500 0.500
Os 0.000 0.000 0.000
Ca 0.750 0.750 0.750

Entry 2:
First-principles (PBE) data for a geometry-optimized Ca2Sb2Os structure, as listed in the Alexandria database.

Calculated values
Density of states at the Fermi level = 0.932 states/eV/atom
Space group = No. 127

Unit cell a=8.581 b=8.581 c=3.505 alpha=90.00 beta=90.00 gamma=90.00
Last column: magnetic moment on the atom in μB.
Element x y z (fractional)
Os 0.000 0.000 0.000  1.59
Os 0.500 0.500 0.000  1.59
Ca 0.371 0.871 0.000  -0.02
Ca 0.871 0.629 0.000  -0.01
Ca 0.629 0.129 0.000  -0.02
Ca 0.129 0.371 0.000  -0.01
Sb 0.178 0.678 0.500  -0.03
Sb 0.822 0.322 0.500  -0.04
Sb 0.678 0.822 0.500  -0.04
Sb 0.322 0.178 0.500  -0.04

Entry 3:
First-principles (PBE) data for a geometry-optimized Ca2SbTeOs structure, as listed in the Alexandria database.

Calculated values
Density of states at the Fermi level = 1.015 states/eV/atom
Space group = No. 123

Unit cell a=5.743 b=4.866 c=5.743 alpha=90.00 beta=90.00 gamma=90.00
Element x y z (fractional)
Ca 0.500 0.000 0.000
Ca 0.000 0.000 0.500
Os 0.000 0.500 0.000
Te 0.000 0.000 0.000
Sb 0.500 0.500 0.500

Entry 4:
First-principles (PBE) data for a geometry-optimized CaSbTe2Os structure, as listed in the Alexandria database.

Calculated values
Density of states at the Fermi level = 1.396 states/eV/atom
Space group = No. 123

Unit cell a=5.641 b=5.641 c=5.791 alpha=90.00 beta=90.00 gamma=90.00
Last column: magnetic moment on the atom in μB.
Element x y z (fractional)
Os 0.500 0.500 0.500  3.17
Te 0.500 0.000 0.000  -0.03
Te 0.000 0.500 0.000  -0.03
Ca 0.000 0.000 0.000  0.01
Sb 0.000 0.000 0.500  -0.11

Entry 5:
First-principles (PBE) data for a geometry-optimized Ca2SbTeOs structure, as listed in the Alexandria database.

Calculated values
Density of states at the Fermi level = 0.384 states/eV/atom
Space group = No. 123

Unit cell a=5.831 b=5.750 c=5.831 alpha=90.00 beta=90.00 gamma=90.00
Last column: magnetic moment on the atom in μB.
Element x y z (fractional)
Ca 0.500 0.000 0.000  -0.02
Ca 0.000 0.000 0.500  -0.02
Te 0.000 0.500 0.000  0.09
Sb 0.000 0.000 0.000  0.00
Os 0.500 0.500 0.500  2.59

Entry 6:
First-principles (PBE) data for a geometry-optimized CaSbTe2Os structure, as listed in the Alexandria database.

Calculated values
Density of states at the Fermi level = 1.253 states/eV/atom
Space group = No. 123

Unit cell a=5.548 b=5.548 c=4.950 alpha=90.00 beta=90.00 gamma=90.00
Last column: magnetic moment on the atom in μB.
Element x y z (fractional)
Te 0.500 0.000 0.000  0.03
Te 0.000 0.500 0.000  0.03
Sb 0.000 0.000 0.500  0.00
Ca 0.500 0.500 0.500  0.01
Os 0.000 0.000 0.000  0.20

Entry 7:
First-principles (PBE) data for a geometry-optimized Ca2YSbOs structure, as listed in the Alexandria database.

Calculated values
Density of states at the Fermi level = 0.168 states/eV/atom
Space group = No. 123

Unit cell a=5.389 b=5.288 c=5.389 alpha=90.00 beta=90.00 gamma=90.00
Element x y z (fractional)
Ca 0.500 0.000 0.000
Ca 0.000 0.000 0.500
Sb 0.500 0.500 0.500
Y 0.000 0.500 0.000
Os 0.000 0.000 0.000

Entry 8:
First-principles (PBE) data for a geometry-optimized CaSc4Os structure, as listed in the Alexandria database.

Calculated values
Density of states at the Fermi level = 1.566 states/eV/atom
Formation enthalpy at 0 K = 54.8 kJ per mole of atoms
Space group = No. 216

Unit cell a=5.776 b=5.776 c=5.776 alpha=60.00 beta=60.00 gamma=60.00
Last column: magnetic moment on the atom in μB.
Element x y z (fractional)
Sc 0.372 0.372 0.884  0.21
Sc 0.372 0.884 0.372  0.21
Sc 0.372 0.372 0.372  0.21
Sc 0.884 0.372 0.372  0.21
Os 0.000 0.000 0.000  0.19
Ca 0.750 0.750 0.750  0.05

Entry 9:
First-principles (PBE) data for a geometry-optimized CaScOs structure, as listed in the Alexandria database.

Calculated values
Density of states at the Fermi level = 1.040 states/eV/atom
Formation enthalpy at 0 K = -1.3 kJ per mole of atoms
Space group = No. 107

Unit cell a=6.544 b=6.544 c=3.366 alpha=75.10 beta=75.10 gamma=29.81
Element x y z (fractional)
Ca 0.970 0.970 0.030
Os 0.317 0.317 0.683
Sc 0.712 0.712 0.288

Entry 10:
First-principles (PBE) data for a geometry-optimized CaScOs structure, as listed in the Alexandria database.

Calculated values
Density of states at the Fermi level = 0.468 states/eV/atom
Formation enthalpy at 0 K = 19.2 kJ per mole of atoms
Space group = No. 156

Unit cell a=4.621 b=4.621 c=3.364 alpha=90.00 beta=90.00 gamma=120.00
Element x y z (fractional)
Ca 0.000 0.000 0.019
Os 0.667 0.333 0.400
Sc 0.333 0.667 0.581

Entry 11:
First-principles (PBE) data for a geometry-optimized CaScOs4 structure, as listed in the Alexandria database.

Calculated values
Density of states at the Fermi level = 1.204 states/eV/atom
Formation enthalpy at 0 K = -5.7 kJ per mole of atoms
Space group = No. 216

Unit cell a=5.289 b=5.289 c=5.289 alpha=60.00 beta=60.00 gamma=60.00
Element x y z (fractional)
Ca 0.000 0.000 0.000
Sc 0.750 0.750 0.750
Os 0.874 0.375 0.375
Os 0.375 0.375 0.874
Os 0.375 0.874 0.375
Os 0.375 0.375 0.375

Entry 12:
First-principles (PBE) data for a geometry-optimized CaScOs structure, as listed in the Alexandria database.

Calculated values
Density of states at the Fermi level = 0.751 states/eV/atom
Formation enthalpy at 0 K = 24.5 kJ per mole of atoms
Space group = No. 216

Unit cell a=4.646 b=4.646 c=4.646 alpha=60.00 beta=60.00 gamma=60.00
Element x y z (fractional)
Ca 0.500 0.500 0.500
Os 0.750 0.750 0.750
Sc 0.000 0.000 0.000

Entry 13:
First-principles (PBE) data for a geometry-optimized Ca2ScTcOs structure, as listed in the Alexandria database.

Calculated values
Density of states at the Fermi level = 1.245 states/eV/atom
Formation enthalpy at 0 K = 92.1 kJ per mole of atoms
Space group = No. 123

Unit cell a=5.441 b=4.920 c=5.441 alpha=90.00 beta=90.00 gamma=90.00
Last column: magnetic moment on the atom in μB.
Element x y z (fractional)
Tc 0.500 0.500 0.500  3.12
Ca 0.000 0.000 0.500  -0.02
Ca 0.500 0.000 0.000  -0.02
Os 0.000 0.000 0.000  0.15
Sc 0.000 0.500 0.000  -0.09

Entry 14:
First-principles (PBE) data for a geometry-optimized CaScTe2Os structure, as listed in the Alexandria database.

Calculated values
Density of states at the Fermi level = 1.307 states/eV/atom
Space group = No. 123

Unit cell a=5.596 b=4.982 c=5.596 alpha=90.00 beta=90.00 gamma=90.00
Last column: magnetic moment on the atom in μB.
Element x y z (fractional)
Te 0.000 0.000 0.500  0.10
Te 0.500 0.000 0.000  0.11
Os 0.000 0.500 0.000  1.99
Sc 0.500 0.500 0.500  -0.22
Ca 0.000 0.000 0.000  0.03

Entry 15:
First-principles (PBE) data for a geometry-optimized CaY2ScOs structure, as listed in the Alexandria database.

Calculated values
Density of states at the Fermi level = 0.690 states/eV/atom
Formation enthalpy at 0 K = -7.2 kJ per mole of atoms
Space group = No. 123

Unit cell a=5.481 b=5.481 c=5.140 alpha=90.00 beta=90.00 gamma=90.00
Element x y z (fractional)
Os 0.000 0.000 0.000
Y 0.000 0.500 0.000
Y 0.500 0.000 0.000
Sc 0.000 0.000 0.500
Ca 0.500 0.500 0.500

Entry 16:
First-principles (PBE) data for a geometry-optimized CaY2ScOs structure, as listed in the Alexandria database.

Calculated values
Density of states at the Fermi level = 0.750 states/eV/atom
Formation enthalpy at 0 K = 23.5 kJ per mole of atoms
Space group = No. 123

Unit cell a=5.362 b=5.549 c=5.362 alpha=90.00 beta=90.00 gamma=90.00
Element x y z (fractional)
Ca 0.000 0.500 0.000
Y 0.500 0.000 0.000
Y 0.000 0.000 0.500
Sc 0.500 0.500 0.500
Os 0.000 0.000 0.000

Entry 17:
First-principles (PBE) data for a geometry-optimized Ca2OsSe structure, as listed in the Alexandria database.

Calculated values
Density of states at the Fermi level = 0.764 states/eV/atom
Space group = No. 99

Unit cell a=3.317 b=3.317 c=8.680 alpha=90.00 beta=90.00 gamma=90.00
Element x y z (fractional)
Ca 0.500 0.500 0.314
Ca 0.000 0.000 0.941
Os 0.000 0.000 0.556
Se 0.500 0.500 0.689

Entry 18:
First-principles (PBE) data for a geometry-optimized Ca2OsSe structure, as listed in the Alexandria database.

Calculated values
Density of states at the Fermi level = 0.521 states/eV/atom
Space group = No. 139

Unit cell a=5.122 b=5.122 c=5.122 alpha=125.65 beta=125.63 gamma=80.49
Element x y z (fractional)
Se 0.250 0.750 0.500
Os 0.750 0.250 0.500
Ca 0.000 0.000 0.000
Ca 0.500 0.500 0.000

Entry 19:
First-principles (PBE) data for a geometry-optimized Ca2OsSe structure, as listed in the Alexandria database.

Calculated values
Density of states at the Fermi level = 0.900 states/eV/atom
Space group = No. 25

Unit cell a=4.888 b=3.633 c=4.888 alpha=90.00 beta=90.00 gamma=90.00
Element x y z (fractional)
Os 0.000 0.625 0.374
Ca 0.500 0.125 0.376
Ca 0.000 0.125 0.874
Se 0.500 0.625 0.876

Entry 20:
First-principles (PBE) data for a geometry-optimized Ca2OsSe structure, as listed in the Alexandria database.

Calculated values
Density of states at the Fermi level = 1.010 states/eV/atom
Space group = No. 47

Unit cell a=3.607 b=3.663 c=7.468 alpha=60.64 beta=90.00 gamma=90.00
Element x y z (fractional)
Ca 0.000 0.999 0.001
Ca 0.000 0.501 0.499
Se 0.500 0.750 0.750
Os 0.500 0.250 0.250

no.,total moment (μB/cell),calculated volume (Å³ per cell),energy (eV/atom)
1,0.00,74.4,-4.71
2,3.09,258.0,-4.24
3,0.00,160.5,-4.20
4,3.34,184.3,-3.21
5,3.00,195.5,-3.52
6,0.34,152.4,-4.60
7,0.00,153.6,-5.22
8,1.57,136.3,-5.86
9,0.00,69.1,-6.53
10,0.00,62.2,-6.32
11,0.00,104.6,-8.93
12,0.00,70.9,-6.27
13,3.44,145.6,-5.43
14,2.30,156.0,-4.14
15,0.00,154.4,-6.57
16,0.00,159.6,-6.25
17,0.00,95.5,-4.59
18,0.00,85.6,-4.75
19,0.00,86.8,-4.86
20,0.00,86.0,-4.96